# 1
Density functional theory data (PBE) for a geometry-optimized Ce7Ge5Au structure.

a b c (Å): 6.1244 10.7629 10.0625
angles (deg): 90.00 90.00 90.00
Space group Imm2 (No. 44)
Symmetry-distinct sites (fractional):
Ce1 0.0000 0.0000 0.0000 x2
Ce2 0.0000 0.0000 0.4030 x2
Ce3 0.0000 0.3110 0.7000 x4
Ce4 0.0000 0.3353 0.1519 x4
Ce5 0.0000 0.5000 0.3596 x2
Ge1 0.0000 0.5000 0.9115 x2
Ge2 0.2179 0.2602 0.4330 x8
Au1 0.0000 0.0000 0.7029 x2

As for the total moment: 0.424 μB/atom. For the formation energy, the calculation gives -0.5058 eV/atom. The calculation puts the total energy at -5.73 eV per atom. The calculation puts the volume at 25.51 Å³ per atom.


# 2
Density functional theory data (PBE) for a geometry-optimized MgSnN2O structure.

a b c (Å): 4.1652 4.1652 3.9214
angles (deg): 90.00 90.00 90.00
Space group P4/mmm (No. 123)
Symmetry-distinct sites (fractional):
Mg1 0.0000 0.0000 0.0000 x1
Sn1 0.5000 0.5000 0.5000 x1
N1 0.0000 0.5000 0.0000 x2
O1 0.0000 0.0000 0.5000 x1

As for the total moment: 0.795 μB/atom. The calculation puts the total energy at -4.80 eV per atom. The formation energy from raw total energies comes out at 0.64 eV per atom. The calculation puts the volume at 13.61 Å³ per atom.


# 3
Density functional theory data (PBE) for a geometry-optimized V4Ge2Pt structure.

a b c (Å): 4.5789 4.5789 13.3604
angles (deg): 90.00 90.00 90.00
Space group I4/mmm (No. 139)
Symmetry-distinct sites (fractional):
V1 0.0000 0.0000 0.1874 x4
V2 0.0000 0.5000 0.0000 x4
Ge1 0.0000 0.0000 0.3751 x4
Pt1 0.0000 0.0000 0.0000 x2

As for the total moment: 0.341 μB/atom. For the formation energy, the calculation gives 0.7202 eV/atom. The calculation puts the total energy at -6.67 eV per atom. The calculation puts the volume at 20.01 Å³ per atom.


# 4
Density functional theory data (PBE) for a geometry-optimized SrMn2Fe structure.

a b c (Å): 5.8778 8.1087 3.1030
angles (deg): 90.00 90.00 90.00
Space group Cmmm (No. 65)
Symmetry-distinct sites (fractional):
Sr1 0.0000 0.0000 0.0000 x2
Mn1 0.2500 0.2500 0.5000 x4
Fe1 0.0000 0.5000 0.0000 x2

As for the total moment: 2.426 μB/atom. For the formation energy, the calculation gives 0.9410 eV/atom. The calculation puts the total energy at -6.18 eV per atom. The calculation puts the volume at 18.49 Å³ per atom.


# 5
Density functional theory data (PBE) for a geometry-optimized CaCuHg2 structure.

a b c (Å): 8.2570 4.5769 5.7096
angles (deg): 90.00 118.35 90.00
Space group Cm (No. 8)
Symmetry-distinct sites (fractional):
Ca1 0.0000 0.0000 0.0000 x2
Cu1 0.2143 0.0000 0.6092 x2
Hg1 0.0599 0.5000 0.6578 x2
Hg2 0.2885 0.5000 0.3512 x2

As for the total moment: 0.000 μB/atom. For the formation energy, the calculation gives -0.2076 eV/atom. The calculation puts the total energy at -1.88 eV per atom. The calculation puts the volume at 23.74 Å³ per atom.


# 6
Density functional theory data (PBE) for a geometry-optimized ReBCl2 structure.

a b c (Å): 6.0227 6.0227 8.8992
angles (deg): 90.00 90.00 90.00
Space group I-42d (No. 122)
Symmetry-distinct sites (fractional):
Re1 0.0000 0.0000 0.0000 x4
B1 0.0000 0.0000 0.5000 x4
Cl1 0.2201 0.2500 0.1250 x8

As for the total moment: 0.000 μB/atom. As for the energy relative to the lowest polymorph listed for this composition: 563 meV/atom. The calculation puts the total energy at -4.00 eV per atom. The formation energy from raw total energies comes out at 1.71 eV per atom. The calculation puts the volume at 20.17 Å³ per atom.


# 7
Density functional theory data (PBE) for a geometry-optimized SrHoAg2O4 structure.

a b c (Å): 6.0898 6.0949 6.8092
angles (deg): 90.00 90.00 90.00
Space group I222 (No. 23)
Symmetry-distinct sites (fractional):
Sr1 0.0000 0.0000 0.0000 x2
Ho1 0.0000 0.0000 0.5000 x2
Ag1 0.0000 0.5000 0.2491 x4
O1 0.1915 0.1912 0.2896 x8

As for the total moment: 0.000 μB/atom. The calculation puts the total energy at -5.72 eV per atom. The formation energy from raw total energies comes out at -1.75 eV per atom. The calculation puts the volume at 15.80 Å³ per atom.


# 8
Density functional theory data (PBE) for a geometry-optimized YBeHg2Ge structure.

a b c (Å): 5.7039 5.7039 5.0928
angles (deg): 90.00 90.00 90.00
Space group P4/mmm (No. 123)
Symmetry-distinct sites (fractional):
Y1 0.0000 0.0000 0.0000 x1
Be1 0.0000 0.0000 0.5000 x1
Hg1 0.0000 0.5000 0.0000 x2
Ge1 0.5000 0.5000 0.5000 x1

As for the total moment: 0.000 μB/atom. For the formation energy, the calculation gives 1.1171 eV/atom. The calculation puts the total energy at -1.97 eV per atom. The calculation puts the volume at 33.14 Å³ per atom.


# 9
Density functional theory data (PBE) for a geometry-optimized Nb3ZnHg structure.

a b c (Å): 4.7308 4.7308 4.7308
angles (deg): 90.00 90.00 90.00
Space group Pm-3m (No. 221)
Symmetry-distinct sites (fractional):
Nb1 0.0000 0.0000 0.5000 x3
Zn1 0.0000 0.0000 0.0000 x1
Hg1 0.5000 0.5000 0.5000 x1

As for the total moment: 0.000 μB/atom. As for the energy relative to the lowest polymorph listed for this composition: 0 meV/atom. For the formation energy, the calculation gives 1.0822 eV/atom. The calculation puts the total energy at -5.27 eV per atom. The calculation puts the volume at 21.18 Å³ per atom.


# 10
Density functional theory data (PBE) for a geometry-optimized SrCaTa2 structure.

a b c (Å): 4.2102 4.2102 5.5227
angles (deg): 90.00 90.00 90.00
Space group P4/mmm (No. 123)
Symmetry-distinct sites (fractional):
Sr1 0.0000 0.0000 0.0000 x1
Ca1 0.5000 0.5000 0.0000 x1
Ta1 0.0000 0.5000 0.5000 x2

As for the total moment: 0.001 μB/atom. As for the energy relative to the lowest polymorph listed for this composition: 592 meV/atom. For the formation energy, the calculation gives 1.0264 eV/atom. The calculation puts the total energy at -5.82 eV per atom. The calculation puts the volume at 24.47 Å³ per atom.


# 11
Density functional theory data (PBE) for a geometry-optimized Ca3TmSb2As structure.

a b c (Å): 5.2604 5.3185 16.2774
angles (deg): 90.00 90.00 90.00
Space group Immm (No. 71)
Symmetry-distinct sites (fractional):
Ca1 0.0000 0.0000 0.0000 x2
Ca2 0.0000 0.5000 0.3224 x4
Tm1 0.0000 0.0000 0.5000 x2
Sb1 0.0000 0.5000 0.1307 x4
As1 0.0000 0.5000 0.5000 x2

As for the total moment: 0.000 μB/atom. The calculation puts the total energy at -4.30 eV per atom. The formation energy from raw total energies comes out at -0.96 eV per atom. The calculation puts the volume at 32.53 Å³ per atom.


# 12
Density functional theory data (PBE) for a geometry-optimized CaTcRu2 structure.

a b c (Å): 6.3668 6.3668 6.3668
angles (deg): 90.00 90.00 90.00
Space group Fm-3m (No. 225)
Symmetry-distinct sites (fractional):
Ca1 0.0000 0.0000 0.0000 x4
Tc1 0.0000 0.0000 0.5000 x4
Ru1 0.2500 0.2500 0.2500 x8

As for the total moment: 0.000 μB/atom. As for the energy relative to the lowest polymorph listed for this composition: 158 meV/atom. For the formation energy, the calculation gives 0.4452 eV/atom. The calculation puts the total energy at -7.28 eV per atom. The calculation puts the volume at 16.13 Å³ per atom.


# 13
Density functional theory data (PBE) for a geometry-optimized AcYTlZn structure.

a b c (Å): 7.7779 7.7779 7.7779
angles (deg): 90.00 90.00 90.00
Space group F-43m (No. 216)
Symmetry-distinct sites (fractional):
Ac1 0.0000 0.0000 0.0000 x4
Y1 0.0000 0.0000 0.5000 x4
Tl1 0.2500 0.2500 0.7500 x4
Zn1 0.2500 0.2500 0.2500 x4

As for the total moment: 0.000 μB/atom. For the formation energy, the calculation gives -0.2791 eV/atom. The calculation puts the total energy at -3.83 eV per atom. The calculation puts the volume at 29.41 Å³ per atom.


# 14
Density functional theory data (PBE) for a geometry-optimized TmNpSe2N structure.

a b c (Å): 3.8974 3.8974 14.3299
angles (deg): 90.00 90.00 90.00
Space group P4/nmm (No. 129, origin choice 2)
Symmetry-distinct sites (fractional):
Tm1 0.2500 0.2500 0.1230 x2
Np1 0.2500 0.2500 0.5790 x2
Se1 0.2500 0.2500 0.3097 x2
Se2 0.2500 0.2500 0.9103 x2
N1 0.2500 0.7500 0.5000 x2

As for the total moment: 0.559 μB/atom. The calculation puts the total energy at -8.06 eV per atom. The formation energy from raw total energies comes out at -1.52 eV per atom. The calculation puts the volume at 21.77 Å³ per atom.


# 15
Density functional theory data (PBE) for a geometry-optimized Pm4NiRh structure.

a b c (Å): 9.3126 14.0467 6.9223
angles (deg): 90.00 131.63 90.00
Space group C2/c (No. 15)
Symmetry-distinct sites (fractional):
Pm1 0.1728 0.2226 0.1657 x8
Pm2 0.2493 0.0263 0.7647 x8
Ni1 0.0000 0.0978 0.2500 x4
Rh1 0.0000 0.3697 0.7500 x4

As for the total moment: 0.000 μB/atom. For the formation energy, the calculation gives -0.3040 eV/atom. The calculation puts the total energy at -5.66 eV per atom. The calculation puts the volume at 28.20 Å³ per atom.


# 16
Density functional theory data (PBE) for a geometry-optimized TbCuHg structure.

a b c (Å): 3.1883 3.1883 15.1974
angles (deg): 90.00 90.00 90.00
Space group I4mm (No. 107)
Symmetry-distinct sites (fractional):
Tb1 0.0000 0.0000 0.0000 x2
Cu1 0.0000 0.0000 0.1807 x2
Hg1 0.0000 0.0000 0.3511 x2

As for the total moment: 0.000 μB/atom. For the formation energy, the calculation gives 0.4490 eV/atom. The calculation puts the total energy at -2.56 eV per atom. The calculation puts the volume at 25.75 Å³ per atom.


# 17
Density functional theory data (PBE) for a geometry-optimized ScBeHg2 structure.

a b c (Å): 3.1606 3.1606 7.6112
angles (deg): 90.00 90.00 90.00
Space group P4mm (No. 99)
Symmetry-distinct sites (fractional):
Sc1 0.0000 0.0000 0.0000 x1
Be1 0.5000 0.5000 0.2291 x1
Hg1 0.0000 0.0000 0.4081 x1
Hg2 0.5000 0.5000 0.7222 x1

As for the total moment: 0.080 μB/atom. For the formation energy, the calculation gives 0.0404 eV/atom. The calculation puts the total energy at -2.62 eV per atom. The calculation puts the volume at 19.01 Å³ per atom.


# 18
Density functional theory data (PBE) for a geometry-optimized AcTbNd2Y6 structure.

a b c (Å): 9.2596 15.4057 9.7448
angles (deg): 90.00 96.46 90.00
Space group C2/c (No. 15)
Symmetry-distinct sites (fractional):
Ac1 0.0000 0.0257 0.2500 x4
Tb1 0.0000 0.4099 0.7500 x4
Nd1 0.2470 0.4440 0.4513 x8
Y1 0.0625 0.1919 0.9416 x8
Y2 0.1015 0.3925 0.1151 x8
Y3 0.2095 0.2279 0.3167 x8

As for the total moment: 0.000 μB/atom. For the formation energy, the calculation gives 0.1235 eV/atom. The calculation puts the total energy at -5.58 eV per atom. The calculation puts the volume at 34.53 Å³ per atom.


# 19
Density functional theory data (PBE) for a geometry-optimized Sb2As structure.

a b c (Å): 11.4225 3.7527 7.7286
angles (deg): 90.00 109.82 90.00
Space group C2/m (No. 12)
Symmetry-distinct sites (fractional):
Sb1 0.1387 0.0000 0.0547 x4
Sb2 0.1394 0.0000 0.5799 x4
As1 0.0158 0.5000 0.7551 x4

As for the total moment: 0.000 μB/atom. As for the energy relative to the lowest polymorph listed for this composition: 192 meV/atom. The calculation puts the total energy at -4.04 eV per atom. The formation energy from raw total energies comes out at 0.26 eV per atom. The calculation puts the volume at 25.97 Å³ per atom.


# 20
Density functional theory data (PBE) for a geometry-optimized CaScRuO6 structure.

a b c (Å): 5.2916 5.2916 9.9662
angles (deg): 90.00 90.00 120.00
Space group P-31c (No. 163)
Symmetry-distinct sites (fractional):
Ca1 0.0000 0.0000 0.0000 x2
Sc1 0.3333 0.6667 0.2500 x2
Ru1 0.3333 0.6667 0.7500 x2
O1 0.0269 0.3758 0.6422 x12

As for the total moment: 0.116 μB/atom. The calculation puts the total energy at -7.22 eV per atom. The formation energy from raw total energies comes out at -1.96 eV per atom. The calculation puts the volume at 13.43 Å³ per atom.


# 21
Density functional theory data (PBE) for a geometry-optimized B5C7 structure.

a b c (Å): 2.6586 2.6586 16.1357
angles (deg): 90.00 90.00 120.00
Space group P3m1 (No. 156)
Symmetry-distinct sites (fractional):
B1 0.0000 0.0000 0.0000 x1
B2 0.0000 0.0000 0.2252 x1
B3 0.3333 0.6667 0.6472 x1
B4 0.6667 0.3333 0.4728 x1
B5 0.6667 0.3333 0.7589 x1
C1 0.0000 0.0000 0.5160 x1
C2 0.0000 0.0000 0.6032 x1
C3 0.3333 0.6667 0.2387 x1
C4 0.3333 0.6667 0.3415 x1
C5 0.3333 0.6667 0.7488 x1
C6 0.6667 0.3333 0.0001 x1
C7 0.6667 0.3333 0.3730 x1

As for the total moment: 0.012 μB/atom. As for the energy relative to the lowest polymorph listed for this composition: 75 meV/atom. For the formation energy, the calculation gives 0.3327 eV/atom. The calculation puts the total energy at -7.83 eV per atom. The calculation puts the volume at 8.23 Å³ per atom.


# 22
Density functional theory data (PBE) for a geometry-optimized Ho2TmGe3 structure.

a b c (Å): 4.0912 5.8187 12.4066
angles (deg): 90.00 90.00 90.00
Space group Immm (No. 71)
Symmetry-distinct sites (fractional):
Ho1 0.0000 0.0000 0.1672 x4
Tm1 0.0000 0.0000 0.5000 x2
Ge1 0.0000 0.5000 0.1652 x4
Ge2 0.0000 0.5000 0.5000 x2

As for the total moment: 0.000 μB/atom. For the formation energy, the calculation gives -0.6393 eV/atom. The calculation puts the total energy at -5.22 eV per atom. The calculation puts the volume at 24.61 Å³ per atom.


# 23
Density functional theory data (PBE) for a geometry-optimized MnTe2Au structure.

a b c (Å): 7.1145 7.1145 7.1145
angles (deg): 90.00 90.00 90.00
Space group Fm-3m (No. 225)
Symmetry-distinct sites (fractional):
Mn1 0.0000 0.0000 0.0000 x4
Te1 0.2500 0.2500 0.2500 x8
Au1 0.0000 0.0000 0.5000 x4

As for the total moment: 0.868 μB/atom. As for the energy relative to the lowest polymorph listed for this composition: 413 meV/atom. The calculation puts the total energy at -4.36 eV per atom. The formation energy from raw total energies comes out at 0.32 eV per atom. The calculation puts the volume at 22.51 Å³ per atom.


# 24
Density functional theory data (PBE) for a geometry-optimized Li2HgOs structure.

a b c (Å): 2.6568 4.1639 5.6675
angles (deg): 90.00 90.00 90.00
Space group Pmmm (No. 47)
Symmetry-distinct sites (fractional):
Li1 0.0000 0.0000 0.2201 x2
Hg1 0.5000 0.5000 0.5000 x1
Os1 0.5000 0.5000 0.0000 x1

As for the total moment: 0.000 μB/atom. For the formation energy, the calculation gives 0.2552 eV/atom. The calculation puts the total energy at -3.58 eV per atom. The calculation puts the volume at 15.67 Å³ per atom.


# 25
Density functional theory data (PBE) for a geometry-optimized TePPbO2 structure.

a b c (Å): 4.1529 4.1529 5.3243
angles (deg): 90.00 90.00 90.00
Space group P4/mmm (No. 123)
Symmetry-distinct sites (fractional):
Te1 0.0000 0.0000 0.0000 x1
P1 0.0000 0.0000 0.5000 x1
Pb1 0.5000 0.5000 0.5000 x1
O1 0.0000 0.5000 0.0000 x2

As for the total moment: 0.000 μB/atom. As for the energy relative to the lowest polymorph listed for this composition: 0 meV/atom. The calculation puts the total energy at -4.75 eV per atom. The formation energy from raw total energies comes out at -0.32 eV per atom. The calculation puts the volume at 18.37 Å³ per atom.


# 26
Density functional theory data (PBE) for a geometry-optimized K2TlRu structure.

a b c (Å): 4.3011 4.3011 11.2936
angles (deg): 90.00 90.00 90.00
Space group I4/mmm (No. 139)
Symmetry-distinct sites (fractional):
K1 0.0000 0.5000 0.2500 x4
Tl1 0.0000 0.0000 0.0000 x2
Ru1 0.0000 0.0000 0.5000 x2

As for the total moment: 0.197 μB/atom. As for the energy relative to the lowest polymorph listed for this composition: 332 meV/atom. For the formation energy, the calculation gives 0.7879 eV/atom. The calculation puts the total energy at -2.67 eV per atom. The calculation puts the volume at 26.12 Å³ per atom.